# 1
Material: CdIn2Mo
Method: DFT, PBE-GGA
State: optimized geometry Values from VASP.

Properties
The calculation puts the energy of formation from the pure elements at 0.397 eV/atom. The space group is P4mm, No. 99. For the total magnetization, the calculation gives 0.1939 μB/atom. Its electronic total energy is -3.91 eV/atom.

Geometry as Quantum ESPRESSO input:
```
&SYSTEM
  ibrav = 0, nat = 4, ntyp = 3
/
ATOMIC_SPECIES
Cd 112.41 Cd.upf
In 114.82 In.upf
Mo 95.94 Mo.upf
ATOMIC_POSITIONS angstrom
Cd 0.000 0.000 0.000
In 0.000 0.000 3.148
In 1.879 1.879 1.456
Mo 1.879 1.879 4.387
CELL_PARAMETERS angstrom
3.758 0.000 0.000
0.000 3.758 0.000
0.000 0.000 5.909
```

***

# 2
Material: CdIn2Mo
Method: DFT, PBE-GGA
State: optimized geometry Values from VASP.

Properties
The calculation puts the energy of formation from the pure elements at 0.301 eV/atom. The space group is I4/mmm, No. 139. For the total magnetization, the calculation gives 0.0000 μB/atom. Its electronic total energy is -4.00 eV/atom.

Geometry as Quantum ESPRESSO input:
```
&SYSTEM
  ibrav = 0, nat = 4, ntyp = 3
/
ATOMIC_SPECIES
Cd 112.41 Cd.upf
In 114.82 In.upf
Mo 95.94 Mo.upf
ATOMIC_POSITIONS angstrom
Cd 0.000 0.000 0.000
In 2.089 0.000 2.287
In 0.000 2.089 2.287
Mo 0.000 0.000 4.575
CELL_PARAMETERS angstrom
-2.089 2.089 4.575
2.089 -2.089 4.575
2.089 2.089 -4.575
```

***

# 3
Material: CdIn2Mo
Method: DFT, PBE-GGA
State: optimized geometry Values from VASP.

Properties
The calculation puts the energy of formation from the pure elements at 0.345 eV/atom. The space group is R-3m, No. 166. For the total magnetization, the calculation gives 0.1948 μB/atom. Its electronic total energy is -3.96 eV/atom.

Geometry as Quantum ESPRESSO input:
```
&SYSTEM
  ibrav = 0, nat = 4, ntyp = 3
/
ATOMIC_SPECIES
Cd 112.41 Cd.upf
In 114.82 In.upf
Mo 95.94 Mo.upf
ATOMIC_POSITIONS angstrom
Cd 0.000 0.000 0.000
In 0.000 0.000 7.117
In 0.000 0.000 21.975
Mo 0.000 0.000 14.546
CELL_PARAMETERS angstrom
1.585 0.915 9.697
-1.585 0.915 9.697
0.000 -1.830 9.697
```

***

# 4
Material: CdInMo2
Method: DFT, PBE-GGA
State: optimized geometry Values from VASP.

Properties
The calculation puts the energy of formation from the pure elements at 0.456 eV/atom. The space group is C2/m, No. 12. For the total magnetization, the calculation gives 0.0000 μB/atom. Its electronic total energy is -5.87 eV/atom.

Geometry as Quantum ESPRESSO input:
```
&SYSTEM
  ibrav = 0, nat = 4, ntyp = 3
/
ATOMIC_SPECIES
Cd 112.41 Cd.upf
In 114.82 In.upf
Mo 95.94 Mo.upf
ATOMIC_POSITIONS angstrom
Cd 0.000 0.000 0.000
In 2.820 0.000 0.000
Mo 1.070 2.333 1.372
Mo 1.070 -2.333 1.372
CELL_PARAMETERS angstrom
2.820 -4.667 0.000
2.820 4.667 0.000
-0.681 0.000 2.744
```

***

# 5
Material: CdInMo2
Method: DFT, PBE-GGA
State: optimized geometry Values from VASP.

Properties
The calculation puts the energy of formation from the pure elements at 0.501 eV/atom. The space group is P4/mmm, No. 123. For the total magnetization, the calculation gives 0.0000 μB/atom. Its electronic total energy is -5.83 eV/atom.

Geometry as Quantum ESPRESSO input:
```
&SYSTEM
  ibrav = 0, nat = 4, ntyp = 3
/
ATOMIC_SPECIES
Cd 112.41 Cd.upf
In 114.82 In.upf
Mo 95.94 Mo.upf
ATOMIC_POSITIONS angstrom
Cd 0.000 0.000 0.000
In 0.000 0.000 4.544
Mo 1.412 1.412 2.286
Mo 1.412 1.412 6.801
CELL_PARAMETERS angstrom
2.823 0.000 0.000
0.000 2.823 0.000
0.000 0.000 9.087
```

***

# 6
Material: CdInMo2
Method: DFT, PBE-GGA
State: optimized geometry Values from VASP.

Properties
The calculation puts the energy of formation from the pure elements at 0.695 eV/atom. The space group is Fm-3m, No. 225. For the total magnetization, the calculation gives 0.0000 μB/atom. Its electronic total energy is -5.63 eV/atom.

Geometry as Quantum ESPRESSO input:
```
&SYSTEM
  ibrav = 0, nat = 4, ntyp = 3
/
ATOMIC_SPECIES
Cd 112.41 Cd.upf
In 114.82 In.upf
Mo 95.94 Mo.upf
ATOMIC_POSITIONS angstrom
Cd 0.000 0.000 0.000
In 3.300 3.300 3.300
Mo 1.650 1.650 1.650
Mo 4.950 4.950 4.950
CELL_PARAMETERS angstrom
0.000 3.300 3.300
3.300 0.000 3.300
3.300 3.300 0.000
```

***

# 7
Material: Cd2InMo
Method: DFT, PBE-GGA
State: optimized geometry Values from VASP.

Properties
The calculation puts the energy of formation from the pure elements at 0.350 eV/atom. The space group is P4mm, No. 99. For the total magnetization, the calculation gives 0.0000 μB/atom. Its electronic total energy is -3.50 eV/atom.

Geometry as Quantum ESPRESSO input:
```
&SYSTEM
  ibrav = 0, nat = 4, ntyp = 3
/
ATOMIC_SPECIES
Cd 112.41 Cd.upf
In 114.82 In.upf
Mo 95.94 Mo.upf
ATOMIC_POSITIONS angstrom
Cd 0.000 0.000 0.000
Cd 1.468 1.468 2.526
In 0.000 0.000 5.222
Mo 1.468 1.468 7.401
CELL_PARAMETERS angstrom
2.937 0.000 0.000
0.000 2.937 0.000
0.000 0.000 9.556
```

***

# 8
Material: Cd2InMo
Method: DFT, PBE-GGA
State: optimized geometry Values from VASP.

Properties
The calculation puts the energy of formation from the pure elements at 0.499 eV/atom. The space group is P4/mmm, No. 123. For the total magnetization, the calculation gives 0.4801 μB/atom. Its electronic total energy is -3.35 eV/atom.

Geometry as Quantum ESPRESSO input:
```
&SYSTEM
  ibrav = 0, nat = 4, ntyp = 3
/
ATOMIC_SPECIES
Cd 112.41 Cd.upf
In 114.82 In.upf
Mo 95.94 Mo.upf
ATOMIC_POSITIONS angstrom
Cd 0.000 0.000 1.416
Cd 0.000 0.000 4.623
In 1.859 1.859 3.019
Mo 1.859 1.859 0.000
CELL_PARAMETERS angstrom
3.718 0.000 0.000
0.000 3.718 0.000
0.000 0.000 6.038
```

***

# 9
Material: CdIn2Mo
Method: DFT, PBE-GGA
State: optimized geometry Values from VASP.

Properties
The calculation puts the energy of formation from the pure elements at 0.347 eV/atom. The space group is P4/mmm, No. 123. For the total magnetization, the calculation gives 0.0491 μB/atom. Its electronic total energy is -3.96 eV/atom.

Geometry as Quantum ESPRESSO input:
```
&SYSTEM
  ibrav = 0, nat = 4, ntyp = 3
/
ATOMIC_SPECIES
Cd 112.41 Cd.upf
In 114.82 In.upf
Mo 95.94 Mo.upf
ATOMIC_POSITIONS angstrom
Cd 0.000 0.000 0.000
In 1.496 1.496 2.633
In 1.496 1.496 6.844
Mo 0.000 0.000 4.739
CELL_PARAMETERS angstrom
2.991 0.000 0.000
0.000 2.991 0.000
0.000 0.000 9.478
```

***

# 10
Material: CdIn2Mo
Method: DFT, PBE-GGA
State: optimized geometry Values from VASP.

Properties
The calculation puts the energy of formation from the pure elements at 0.291 eV/atom. The space group is I-4m2, No. 119. For the total magnetization, the calculation gives 0.0000 μB/atom. Its electronic total energy is -4.02 eV/atom.

Geometry as Quantum ESPRESSO input:
```
&SYSTEM
  ibrav = 0, nat = 4, ntyp = 3
/
ATOMIC_SPECIES
Cd 112.41 Cd.upf
In 114.82 In.upf
Mo 95.94 Mo.upf
ATOMIC_POSITIONS angstrom
Cd 0.000 0.000 0.000
In 2.048 0.000 2.384
In 0.000 0.000 4.768
Mo 0.000 2.048 2.384
CELL_PARAMETERS angstrom
-2.048 2.048 4.768
2.048 -2.048 4.768
2.048 2.048 -4.768
```

***

# 11
Material: Cd2InMo
Method: DFT, PBE-GGA
State: optimized geometry Values from VASP.

Properties
The calculation puts the energy of formation from the pure elements at 0.391 eV/atom. The space group is R-3m, No. 166. For the total magnetization, the calculation gives 0.0000 μB/atom. Its electronic total energy is -3.46 eV/atom.

Geometry as Quantum ESPRESSO input:
```
&SYSTEM
  ibrav = 0, nat = 4, ntyp = 3
/
ATOMIC_SPECIES
Cd 112.41 Cd.upf
In 114.82 In.upf
Mo 95.94 Mo.upf
ATOMIC_POSITIONS angstrom
Cd 0.000 0.000 7.284
Cd 0.000 0.000 22.406
In 0.000 0.000 0.000
Mo 0.000 0.000 14.845
CELL_PARAMETERS angstrom
1.547 0.893 9.897
-1.547 0.893 9.897
0.000 -1.786 9.897
```

***

# 12
Material: CdInMo2
Method: DFT, PBE-GGA
State: optimized geometry Values from VASP.

Properties
The calculation puts the energy of formation from the pure elements at 0.458 eV/atom. The space group is Pmmm, No. 47. For the total magnetization, the calculation gives 0.0000 μB/atom. Its electronic total energy is -5.87 eV/atom.

Geometry as Quantum ESPRESSO input:
```
&SYSTEM
  ibrav = 0, nat = 4, ntyp = 3
/
ATOMIC_SPECIES
Cd 112.41 Cd.upf
In 114.82 In.upf
Mo 95.94 Mo.upf
ATOMIC_POSITIONS angstrom
Cd 0.000 0.000 0.000
In 1.737 2.228 0.000
Mo 0.000 2.228 2.335
Mo 1.737 0.000 2.335
CELL_PARAMETERS angstrom
3.474 0.000 0.000
0.000 4.456 0.000
0.000 0.000 4.671
```